Entry 1:
Cs3CePm3Te8: optimized geometry, PBE.

CIF file:
```
data_Cs3CePm3Te8
_chemical_formula_sum 'Cs3 Ce1 Pm3 Te8'
_space_group_name_H-M_alt 'P 1'
_space_group_IT_number 1
_space_group_name_Hall 'P 1'
_cell_length_a 9.165
_cell_length_b 9.165
_cell_length_c 10.535
_cell_angle_alpha 115.79
_cell_angle_beta 90.00
_cell_angle_gamma 120.00
loop_
_atom_site_label
_atom_site_type_symbol
_atom_site_fract_x
_atom_site_fract_y
_atom_site_fract_z
_atom_site_occupancy
Te1 Te 0.269 0.537 0.306 1
Te2 Te 0.227 0.455 0.690 1
Te3 Te 0.731 0.463 0.694 1
Te4 Te 0.773 0.038 0.310 1
Te5 Te 0.735 0.962 0.690 1
Te6 Te 0.773 0.545 0.310 1
Te7 Te 0.227 0.962 0.690 1
Te8 Te 0.265 0.038 0.310 1
Cs1 Cs 0.000 0.000 0.000 1
Cs2 Cs 0.500 0.500 0.000 1
Cs3 Cs 0.000 0.500 0.000 1
Pm1 Pm 0.500 0.000 0.500 1
Pm2 Pm 0.500 0.500 0.500 1
Pm3 Pm 0.000 0.500 0.500 1
Ce1 Ce 0.000 0.000 0.500 1
```

Properties
E_form (uncorrected): -1.3709 eV per atom



Entry 2:
Li4YPt2: optimized geometry, PBE.

CIF file:
```
data_Li4YPt2
_chemical_formula_sum 'Li8 Y2 Pt4'
_space_group_name_H-M_alt 'P 1'
_space_group_IT_number 1
_space_group_name_Hall 'P 1'
_cell_length_a 4.134
_cell_length_b 7.567
_cell_length_c 7.567
_cell_angle_alpha 90.00
_cell_angle_beta 90.00
_cell_angle_gamma 90.00
loop_
_atom_site_label
_atom_site_type_symbol
_atom_site_fract_x
_atom_site_fract_y
_atom_site_fract_z
_atom_site_occupancy
Pt1 Pt 0.000 0.206 0.794 1
Pt2 Pt 0.000 0.794 0.206 1
Pt3 Pt 0.500 0.706 0.706 1
Pt4 Pt 0.500 0.294 0.294 1
Li1 Li 0.000 0.901 0.653 1
Li2 Li 0.500 0.401 0.847 1
Li3 Li 0.000 0.653 0.901 1
Li4 Li 0.500 0.847 0.401 1
Li5 Li 0.000 0.099 0.347 1
Li6 Li 0.000 0.347 0.099 1
Li7 Li 0.500 0.153 0.599 1
Li8 Li 0.500 0.599 0.153 1
Y1 Y 0.500 0.000 0.000 1
Y2 Y 0.000 0.500 0.500 1
```

Properties
Energy of formation from the pure elements: -0.6020 eV per atom



Entry 3:
PdSBr3: optimized geometry, PBE.

CIF file:
```
data_PdSBr3
_chemical_formula_sum 'Pd1 S1 Br3'
_space_group_name_H-M_alt 'P 1'
_space_group_IT_number 1
_space_group_name_Hall 'P 1'
_cell_length_a 5.118
_cell_length_b 5.118
_cell_length_c 5.118
_cell_angle_alpha 90.00
_cell_angle_beta 90.00
_cell_angle_gamma 90.00
loop_
_atom_site_label
_atom_site_type_symbol
_atom_site_fract_x
_atom_site_fract_y
_atom_site_fract_z
_atom_site_occupancy
S1 S 0.000 0.000 0.000 1
Pd1 Pd 0.500 0.500 0.500 1
Br1 Br 0.000 0.000 0.500 1
Br2 Br 0.000 0.500 0.000 1
Br3 Br 0.500 0.000 0.000 1
```

Properties
E_form (uncorrected): 0.5571 eV per atom



Entry 4:
AgAsBr2: optimized geometry, PBE.

CIF file:
```
data_AgAsBr2
_chemical_formula_sum 'Ag1 As1 Br2'
_space_group_name_H-M_alt 'P 1'
_space_group_IT_number 1
_space_group_name_Hall 'P 1'
_cell_length_a 4.938
_cell_length_b 4.859
_cell_length_c 4.864
_cell_angle_alpha 69.10
_cell_angle_beta 90.00
_cell_angle_gamma 90.00
loop_
_atom_site_label
_atom_site_type_symbol
_atom_site_fract_x
_atom_site_fract_y
_atom_site_fract_z
_atom_site_occupancy
As1 As 0.500 0.776 0.776 1
Ag1 Ag 0.000 0.530 0.530 1
Br1 Br 0.500 0.296 0.296 1
Br2 Br 0.000 0.898 0.898 1
```

Properties
E_form (uncorrected): 0.1285 eV per atom



Entry 5:
PaBeAu3: optimized geometry, PBE.

CIF file:
```
data_PaBeAu3
_chemical_formula_sum 'Pa1 Be1 Au3'
_space_group_name_H-M_alt 'P 1'
_space_group_IT_number 1
_space_group_name_Hall 'P 1'
_cell_length_a 4.603
_cell_length_b 4.603
_cell_length_c 4.603
_cell_angle_alpha 90.00
_cell_angle_beta 90.00
_cell_angle_gamma 90.00
loop_
_atom_site_label
_atom_site_type_symbol
_atom_site_fract_x
_atom_site_fract_y
_atom_site_fract_z
_atom_site_occupancy
Be1 Be 0.000 0.000 0.000 1
Au1 Au 0.500 0.000 0.000 1
Au2 Au 0.000 0.000 0.500 1
Au3 Au 0.000 0.500 0.000 1
Pa1 Pa 0.500 0.500 0.500 1
```

Properties
Energy of formation from the pure elements: -0.1045 eV per atom



Entry 6:
K3Rb12Tl: optimized geometry, PBE.

CIF file:
```
data_K3Rb12Tl
_chemical_formula_sum 'K3 Rb12 Tl1'
_space_group_name_H-M_alt 'P 1'
_space_group_IT_number 1
_space_group_name_Hall 'P 1'
_cell_length_a 6.905
_cell_length_b 6.905
_cell_length_c 26.605
_cell_angle_alpha 90.00
_cell_angle_beta 90.00
_cell_angle_gamma 90.00
loop_
_atom_site_label
_atom_site_type_symbol
_atom_site_fract_x
_atom_site_fract_y
_atom_site_fract_z
_atom_site_occupancy
Rb1 Rb 0.500 0.500 0.500 1
Rb2 Rb 0.500 0.000 0.900 1
Rb3 Rb 0.500 0.000 0.100 1
Rb4 Rb 0.000 0.500 0.367 1
Rb5 Rb 0.500 0.000 0.367 1
Rb6 Rb 0.500 0.500 0.235 1
Rb7 Rb 0.000 0.500 0.900 1
Rb8 Rb 0.500 0.500 0.765 1
Rb9 Rb 0.000 0.500 0.633 1
Rb10 Rb 0.000 0.500 0.100 1
Rb11 Rb 0.500 0.500 0.000 1
Rb12 Rb 0.500 0.000 0.633 1
Tl1 Tl 0.000 0.000 0.000 1
K1 K 0.000 0.000 0.500 1
K2 K 0.000 0.000 0.766 1
K3 K 0.000 0.000 0.234 1
```

Properties
Energy of formation from the pure elements: 0.0204 eV per atom



Number 1: E_tot -4.56 eV per atom. Number 2: E_tot -4.35 eV per atom. Number 3: E_tot -2.31 eV per atom. Number 4: E_tot -2.58 eV per atom. Number 5: E_tot -4.72 eV per atom. Number 6: E_tot -1.06 eV per atom.